ZnIr2Rh3 | Alexandria | GGA-PBE | optimized geometry; raw total energy = -6.9399 eV per atom
1.0
2.7428 0.0000 0.0000
0.0000 2.7428 0.0000
0.0000 0.0000 11.3462
Zn Ir Rh
1 2 3
Direct
0.0000 0.0000 0.0000 Zn
0.0000 0.0000 0.3296 Ir
0.0000 0.0000 0.6704 Ir
0.5000 0.5000 0.1652 Rh
0.5000 0.5000 0.5000 Rh
0.5000 0.5000 0.8348 Rh



Zn4IrRh | Alexandria | GGA-PBE | optimized geometry; raw total energy = -3.6089 eV per atom
1.0
0.0000 3.4583 3.4583
3.4583 0.0000 3.4583
3.4583 3.4583 0.0000
Zn Ir Rh
4 1 1
Direct
0.1250 0.1250 0.1250 Zn
0.1250 0.1250 0.6251 Zn
0.1250 0.6251 0.1250 Zn
0.6251 0.1250 0.1250 Zn
0.7500 0.7500 0.7500 Ir
0.5000 0.5000 0.5000 Rh



ZnIrRh2 | Alexandria | GGA-PBE | optimized geometry; raw total energy = -6.3297 eV per atom
1.0
2.7584 0.0000 0.0000
0.0000 3.7952 0.0000
0.0000 0.0000 5.4270
Zn Ir Rh
1 1 2
Direct
0.0000 0.0000 0.0000 Zn
0.0000 0.0000 0.5000 Ir
0.5000 0.5000 0.2517 Rh
0.5000 0.5000 0.7483 Rh



ZnIrRh6 | Alexandria | GGA-PBE | optimized geometry; raw total energy = -6.8607 eV per atom
1.0
4.2797 -1.9227 0.0000
4.2797 1.9227 0.0000
-3.4960 0.0000 6.8891
Zn Ir Rh
1 1 6
Direct
0.0000 0.0000 0.0000 Zn
0.0000 0.0000 0.5000 Ir
0.2460 0.2460 0.3721 Rh
0.2515 0.2515 0.8770 Rh
0.4985 0.4985 0.2551 Rh
0.5015 0.5015 0.7449 Rh
0.7485 0.7485 0.1230 Rh
0.7540 0.7540 0.6279 Rh



ZnIrRh2 | Alexandria | GGA-PBE | optimized geometry; raw total energy = -6.2102 eV per atom
1.0
-1.4076 2.2692 4.4734
1.4076 -2.2692 4.4734
1.4076 2.2692 -4.4734
Zn Ir Rh
1 1 2
Direct
0.0000 0.0000 0.0000 Zn
0.2402 0.7402 0.5000 Ir
0.4968 0.4968 0.0000 Rh
0.7628 0.2628 0.5000 Rh



ZnIrRh2 | Alexandria | GGA-PBE | optimized geometry; raw total energy = -6.3481 eV per atom
1.0
2.7051 -3.8278 0.0000
2.7051 3.8278 0.0000
0.0000 0.0000 2.7410
Zn Ir Rh
1 1 2
Direct
0.0000 0.0000 0.0000 Zn
0.5000 0.5000 0.0000 Ir
0.0000 0.5000 0.5000 Rh
0.5000 0.0000 0.5000 Rh



no.,DFT formation energy (eV per atom)
1,-0.098
2,-0.058
3,-0.120
4,-0.080
5,-0.001
6,-0.139